Nb2Ni2Os (GGA-PBEsol, optimized geometry); ΔH_f (0 K) = -0.18 eV/atom; total energy = -9.41 eV per atom; volume = 14.0 Å³ per atom
1.0
6.661 0.000 0.000
0.000 6.661 0.000
0.000 0.000 3.149
Nb Ni Os
4 4 2
Cartesian
1.199 2.132 0.000
2.132 5.462 0.000
4.529 1.199 0.000
5.462 4.529 0.000
0.817 4.148 1.574
2.513 0.817 1.574
4.148 5.844 1.574
5.844 2.513 1.574
0.000 0.000 1.574
3.330 3.330 1.574

Nb3NiOs (GGA-PBEsol, optimized geometry); ΔH_f (0 K) = 1.46 eV/atom; total energy = -8.71 eV per atom; E above lowest polymorph = 1.74 eV per formula unit; volume = 21.6 Å³ per atom
1.0
4.765 0.000 0.000
0.000 4.765 0.000
0.000 0.000 4.765
Nb Ni Os
3 1 1
Cartesian
0.000 0.000 2.383
0.000 2.383 0.000
2.383 0.000 0.000
2.383 2.383 2.383
0.000 0.000 0.000

> What is the ΔH_f (0 K) in the second record?

1.46 eV/atom

> What is the formula in the first record?

Nb2Ni2Os

> Look up the ΔH_f (0 K) of the second one.

1.46 eV/atom